Density functional theory data (PBE) for a relaxed structure of KBaAcSn.

abc: 6.093 6.093 6.093
angles: 60.00 60.00 60.00
Sites, in units of the cell vectors:
K1 0.000 0.000 0.000
Ba1 0.250 0.250 0.250
Ac1 0.750 0.750 0.750
Sn1 0.500 0.500 0.500

Output
E_form ... -111.5 meV per atom
Crystal system ... cubic
Symmetry ... No. 216
VASP energy ... -2.894 eV per atom

Density functional theory data (PBE) for a relaxed structure of KBaAc2Te4.

abc: 8.348 4.822 8.570
angles: 90.00 108.89 90.00
Sites, in units of the cell vectors:
K1 0.000 0.000 0.000
Ba1 0.500 0.500 0.000
Ac1 0.000 0.500 0.500
Ac2 0.500 0.000 0.500
Te1 0.245 0.000 0.735
Te2 0.257 0.500 0.269
Te3 0.743 0.500 0.731
Te4 0.755 0.000 0.265

Output
Crystal system ... monoclinic
Symmetry ... No. 10
VASP energy ... -4.539 eV per atom

Density functional theory data (PBE) for a relaxed structure of KBa2AcTe4.

abc: 8.489 4.942 8.574
angles: 90.00 108.73 90.00
Sites, in units of the cell vectors:
K1 0.000 0.000 0.000
Ba1 0.500 0.000 0.500
Ba2 0.500 0.500 0.000
Ac1 0.000 0.500 0.500
Te1 0.237 0.000 0.737
Te2 0.246 0.500 0.263
Te3 0.754 0.500 0.737
Te4 0.763 0.000 0.263

Output
Crystal system ... monoclinic
Symmetry ... No. 10
VASP energy ... -4.308 eV per atom

Density functional theory data (PBE) for a relaxed structure of KBa4Ac3Te8.

abc: 9.783 9.783 9.783
angles: 59.88 59.88 59.88
Sites, in units of the cell vectors:
K1 0.000 0.000 0.000
Ba1 0.000 0.000 0.500
Ba2 0.000 0.500 0.000
Ba3 0.500 0.000 0.000
Ba4 0.500 0.500 0.500
Ac1 0.000 0.500 0.500
Ac2 0.500 0.000 0.500
Ac3 0.500 0.500 0.000
Te1 0.250 0.250 0.738
Te2 0.250 0.738 0.250
Te3 0.255 0.255 0.255
Te4 0.262 0.750 0.750
Te5 0.738 0.250 0.250
Te6 0.745 0.745 0.745
Te7 0.750 0.262 0.750
Te8 0.750 0.750 0.262

Output
Crystal system ... trigonal
Symmetry ... No. 166
VASP energy ... -4.521 eV per atom

Density functional theory data (PBE) for a relaxed structure of KBa2Ac3Te6.

abc: 10.933 10.933 9.816
angles: 104.38 104.38 25.46
Sites, in units of the cell vectors:
K1 0.000 0.000 0.000
Ba1 0.335 0.335 0.670
Ba2 0.665 0.665 0.330
Ac1 0.000 0.000 0.500
Ac2 0.334 0.334 0.169
Ac3 0.666 0.666 0.831
Te1 0.164 0.164 0.589
Te2 0.170 0.170 0.073
Te3 0.496 0.496 0.260
Te4 0.504 0.504 0.740
Te5 0.830 0.830 0.927
Te6 0.836 0.836 0.411

Output
Crystal system ... monoclinic
Symmetry ... No. 12
VASP energy ... -4.597 eV per atom

Density functional theory data (PBE) for a relaxed structure of KBaAcTl.

abc: 6.192 6.192 6.192
angles: 60.00 60.00 60.00
Sites, in units of the cell vectors:
K1 0.000 0.000 0.000
Ba1 0.250 0.250 0.250
Ac1 0.750 0.750 0.750
Tl1 0.500 0.500 0.500

Output
E_form ... 57.9 meV per atom
Crystal system ... cubic
Symmetry ... No. 216
VASP energy ... -2.316 eV per atom

VASP energy of number 5 (KBa2Ac3Te6)? -4.597 eV per atom

Which value of VASP energy does entry 1 give? -2.894 eV per atom

Which of these has the highest VASP energy? KBaAcTl